one | TiZnAsSe2, relaxed, DFT PBE-GGA; density of states at the Fermi level = 1.385 states/eV/atom; crystal system = tetragonal; magnetization = 0.036 μB/f.u.; space group = P4/mmm, No. 123
1.0
4.8781 0.0000 0.0000
0.0000 4.8781 0.0000
0.0000 0.0000 4.7130
As Zn Se Ti
1 1 2 1
Direct
0.0000 0.0000 0.5000
0.0000 0.0000 0.0000
0.0000 0.5000 0.0000
0.5000 0.0000 0.0000
0.5000 0.5000 0.5000

=====

two | TiZnAsSe2, relaxed, DFT PBE-GGA; density of states at the Fermi level = 0.741 states/eV/atom; crystal system = tetragonal; magnetization = 0.000 μB/f.u.; space group = P4/mmm, No. 123
1.0
-0.9268 -4.5951 1.4330
3.6828 -1.6166 -2.8020
3.1747 0.5602 3.8495
As Zn Se Ti
1 1 2 1
Direct
0.0000 0.0000 0.5000
0.5000 0.5000 0.5000
0.0000 0.5000 0.0000
0.5000 0.0000 0.0000
0.0000 0.0000 0.0000

=====

Stability ranking, top entry: two; the second entry is 55.5 kJ/mol of atoms less favorable.

=====

one | TlAs2Se, relaxed, DFT PBE-GGA; density of states at the Fermi level = 0.809 states/eV/atom; crystal system = monoclinic; magnetization = 0.000 μB/f.u.; space group = P2/m, No. 10
1.0
4.0126 0.0000 0.0000
0.0000 7.0437 -0.0001
0.0000 4.7130 3.3462
Tl As Se
1 2 1
Direct
0.0000 0.0000 0.5000
0.0000 0.0000 0.0000
0.5000 0.5000 0.0000
0.5000 0.5000 0.5000

=====

two | TlAs2Se, relaxed, DFT PBE-GGA; density of states at the Fermi level = 0.554 states/eV/atom; crystal system = orthorhombic; magnetization = 0.000 μB/f.u.; space group = Cmmm, No. 65
1.0
-2.2726 0.5890 2.3646
-0.9420 -1.8810 -2.5841
2.8161 -7.7967 4.6486
Tl As Se
1 2 1
Direct
0.5000 0.5000 0.7500
0.0000 0.0000 0.0378
0.0000 0.0000 0.4622
0.5000 0.5000 0.2500

=====

three | TlAs2Se, relaxed, DFT PBE-GGA; density of states at the Fermi level = 0.482 states/eV/atom; crystal system = tetragonal; magnetization = 0.000 μB/f.u.; space group = P4mm, No. 99
1.0
4.1314 0.0000 0.0000
0.0000 4.1296 0.0000
0.0000 0.0000 5.9293
Tl As Se
1 2 1
Direct
0.5000 0.5000 0.6608
0.0000 0.0000 0.1498
0.5000 0.5000 0.1355
0.0000 0.0000 0.5538

=====

Stability ranking, top entry: three; the second entry is 18.1 kJ/mol of atoms less favorable.

=====

one | TlAs2Se, relaxed, DFT PBE-GGA; density of states at the Fermi level = 0.180 states/eV/atom; crystal system = monoclinic; magnetization = 0.000 μB/f.u.; space group = P2/m, No. 10
1.0
-2.0653 -4.8021 0.2328
1.1227 -0.6556 -3.5630
4.8978 -2.0185 1.8137
Tl As Se
1 2 1
Direct
0.5000 0.7500 0.7500
0.0000 0.0057 0.1084
0.0000 0.4943 0.3916
0.5000 0.2500 0.2500

=====

two | TlAs2Se, relaxed, DFT PBE-GGA; density of states at the Fermi level = 0.497 states/eV/atom; crystal system = orthorhombic; magnetization = 0.000 μB/f.u.; space group = Immm, No. 71
1.0
-1.4730 5.6767 0.4470
-5.7863 0.7279 0.7638
4.9609 -2.2308 2.2377
Tl As Se
1 2 1
Direct
0.7500 0.2500 0.5000
0.0373 0.0373 0.0000
0.4627 0.4627 0.0000
0.2500 0.7500 0.5000

=====

Stability ranking, top entry: one; the second entry is 20.4 kJ/mol of atoms less favorable.

=====

one | Tl2AsSe, relaxed, DFT PBE-GGA; density of states at the Fermi level = 0.372 states/eV/atom; crystal system = monoclinic; magnetization = 0.000 μB/f.u.; space group = C2/m, No. 12
1.0
-3.9523 6.0139 2.5183
-4.8762 5.7375 -1.1971
-3.8878 -1.4643 1.0758
Tl As Se
2 1 1
Direct
0.0770 0.0770 0.9237
0.4230 0.4230 0.5763
0.7500 0.7500 0.7500
0.2500 0.2500 0.2500

=====

two | Tl2AsSe, relaxed, DFT PBE-GGA; density of states at the Fermi level = 0.999 states/eV/atom; crystal system = cubic; magnetization = 0.000 μB/f.u.; space group = F-43m, No. 216
1.0
-4.5171 1.5798 -2.2535
-2.3531 -3.0472 -3.6271
-4.5354 -2.4643 1.1558
Tl As Se
2 1 1
Direct
0.0000 0.0000 0.0000
0.2500 0.2500 0.2500
0.5000 0.5000 0.5000
0.7500 0.7500 0.7500

=====

three | Tl2AsSe, relaxed, DFT PBE-GGA; density of states at the Fermi level = 0.434 states/eV/atom; crystal system = tetragonal; magnetization = 0.000 μB/f.u.; space group = P4mm, No. 99
1.0
3.8067 0.0000 0.0000
0.0000 3.8067 0.0000
0.0000 0.0000 7.6736
Tl As Se
2 1 1
Direct
0.0000 0.0000 0.9715
0.5000 0.5000 0.2727
0.0000 0.0000 0.5810
0.5000 0.5000 0.6749

=====

Stability ranking, top entry: one; the second entry is 2.5 kJ/mol of atoms less favorable.

=====

one | Tl2AsSe, relaxed, DFT PBE-GGA; density of states at the Fermi level = 0.265 states/eV/atom; crystal system = tetragonal; magnetization = 0.000 μB/f.u.; space group = P4/mmm, No. 123
1.0
-4.1800 0.3539 -0.3621
-0.3897 -4.1726 0.4197
-0.4603 0.6406 5.9403
Tl As Se
2 1 1
Direct
0.0000 0.0000 0.8748
0.5000 0.5000 0.3751
0.0000 0.0000 0.3749
0.5000 0.5000 0.8751

=====

two | Tl2AsSe, relaxed, DFT PBE-GGA; density of states at the Fermi level = 0.514 states/eV/atom; crystal system = orthorhombic; magnetization = 0.000 μB/f.u.; space group = Pmmm, No. 47
1.0
-1.4106 0.8721 4.2291
4.1886 -1.1293 1.6299
1.4755 4.7649 -0.4905
Tl As Se
2 1 1
Direct
0.0000 0.0000 0.0000
0.5000 0.5000 0.0000
0.5000 0.0000 0.5000
0.0000 0.5000 0.5000

=====

three | Tl2AsSe, relaxed, DFT PBE-GGA; density of states at the Fermi level = 0.194 states/eV/atom; crystal system = monoclinic; magnetization = 0.000 μB/f.u.; space group = Pm, No. 6
1.0
4.9723 0.0000 0.0000
0.0000 5.0946 0.6634
0.0000 3.1631 5.2271
Tl As Se
2 1 1
Direct
0.0000 0.9654 0.9657
0.5000 0.2878 0.2835
0.0000 0.7394 0.5770
0.5000 0.5074 0.6738

=====

Stability ranking, top entry: three; the second entry is 2.1 kJ/mol of atoms less favorable.

=====

one | Tl2AsSe, relaxed, DFT PBE-GGA; density of states at the Fermi level = 0.413 states/eV/atom; crystal system = tetragonal; magnetization = 0.000 μB/f.u.; space group = I4/mmm, No. 139
1.0
-0.5400 1.9675 5.6203
-0.1029 -4.3161 4.1366
3.5430 1.3389 -4.6266
Tl As Se
2 1 1
Direct
0.0000 0.0000 0.0000
0.5000 0.5000 0.0000
0.2500 0.7500 0.5000
0.7500 0.2500 0.5000

=====

two | Tl2AsSe, relaxed, DFT PBE-GGA; density of states at the Fermi level = 0.628 states/eV/atom; crystal system = orthorhombic; magnetization = 0.000 μB/f.u.; space group = Imm2, No. 44
1.0
-0.8536 -4.9387 3.9572
5.2059 -3.2489 1.7671
-3.0720 5.5983 -0.0291
Tl As Se
2 1 1
Direct
0.9781 0.9781 0.0000
0.2653 0.7653 0.5000
0.5434 0.5434 0.0000
0.7132 0.2132 0.5000

=====

three | Tl2AsSe, relaxed, DFT PBE-GGA; density of states at the Fermi level = 0.471 states/eV/atom; crystal system = trigonal; magnetization = 0.000 μB/f.u.; space group = R3m, No. 160
1.0
-6.4416 -1.0211 6.6379
-5.2610 -4.5222 6.2024
-3.3739 -2.1817 8.3938
Tl As Se
2 1 1
Direct
0.0102 0.0102 0.0102
0.2391 0.2391 0.2391
0.4889 0.4889 0.4889
0.7619 0.7619 0.7619

=====

Stability ranking, top entry: two; the second entry is 7.3 kJ/mol of atoms less favorable.

=====

one | Tl2AsSe, relaxed, DFT PBE-GGA; density of states at the Fermi level = 0.459 states/eV/atom; crystal system = trigonal; magnetization = 0.000 μB/f.u.; space group = R-3m, No. 166
1.0
-5.6980 -4.4942 0.9974
-2.2553 -6.6112 2.2056
-4.0207 -3.7963 4.8044
Tl As Se
2 1 1
Direct
0.9951 0.9951 0.9951
0.5049 0.5049 0.5049
0.2500 0.2500 0.2500
0.7500 0.7500 0.7500

=====

two | Tl2AsSe, relaxed, DFT PBE-GGA; density of states at the Fermi level = 0.880 states/eV/atom; crystal system = cubic; magnetization = 0.000 μB/f.u.; space group = Fm-3m, No. 225
1.0
1.0757 -0.0210 5.1544
-1.4920 4.0491 3.0173
-3.8871 -0.6154 3.4982
Tl As Se
2 1 1
Direct
0.2500 0.2500 0.2500
0.7500 0.7500 0.7500
0.0000 0.0000 0.0000
0.5000 0.5000 0.5000

=====

Stability ranking, top entry: one; the second entry is 16.3 kJ/mol of atoms less favorable.

=====

one | Tl2As2Se, relaxed, DFT PBE-GGA; density of states at the Fermi level = 0.975 states/eV/atom; crystal system = tetragonal; magnetization = 0.004 μB/f.u.; space group = P4/mbm, No. 127
1.0
9.7412 0.0000 0.0000
0.0000 9.7412 0.0000
0.0000 0.0000 3.0035
Tl As Se
4 4 2
Direct
0.2969 0.7969 0.0000
0.7969 0.7031 0.0000
0.7031 0.2031 0.0000
0.2031 0.2969 0.0000
0.0857 0.5857 0.5000
0.5857 0.9143 0.5000
0.9143 0.4143 0.5000
0.4143 0.0857 0.5000
0.0000 0.0000 0.0000
0.5000 0.5000 0.0000

=====

two | Tl2As2Se, relaxed, DFT PBE-GGA; density of states at the Fermi level = 0.692 states/eV/atom; crystal system = tetragonal; magnetization = 0.000 μB/f.u.; space group = I4/mmm, No. 139
1.0
3.7969 0.0000 0.0000
0.0000 3.7969 0.0000
1.8985 1.8985 9.2142
Tl As Se
2 2 1
Direct
0.4061 0.4061 0.1879
0.5939 0.5939 0.8121
0.7500 0.2500 0.5000
0.2500 0.7500 0.5000
0.0000 0.0000 0.0000

=====

three | Tl2As2Se, relaxed, DFT PBE-GGA; density of states at the Fermi level = 0.373 states/eV/atom; crystal system = tetragonal; magnetization = 0.000 μB/f.u.; space group = P4/mbm, No. 127
1.0
7.1898 0.0000 0.0000
0.0000 7.1898 0.0000
0.0000 0.0000 5.1450
Tl As Se
4 4 2
Direct
0.1881 0.6881 0.5000
0.6881 0.8119 0.5000
0.8119 0.3119 0.5000
0.3119 0.1881 0.5000
0.3734 0.8734 0.0000
0.8734 0.6266 0.0000
0.6266 0.1266 0.0000
0.1266 0.3734 0.0000
0.0000 0.0000 0.0000
0.5000 0.5000 0.0000

=====

Stability ranking, top entry: two; the second entry is 6.9 kJ/mol of atoms less favorable.

=====

one | Tl3AsSe3, relaxed, DFT PBE-GGA; crystal system = monoclinic; magnetization = 0.000 μB/f.u.; space group = C2/m, No. 12
1.0
7.9073 0.3114 0.3545
-3.2440 7.2179 0.3545
-0.3300 -0.5328 8.1530
Tl As Se
6 2 6
Direct
0.6368 0.6368 0.3462
0.1704 0.8296 0.5000
0.8296 0.1704 0.5000
0.2159 0.7841 0.0000
0.7841 0.2159 0.0000
0.3632 0.3632 0.6538
0.7584 0.7584 0.8562
0.2416 0.2416 0.1438
0.9754 0.9754 0.2258
0.8034 0.5150 0.7024
0.5150 0.8034 0.7024
0.1966 0.4850 0.2976
0.4850 0.1966 0.2976
0.0246 0.0246 0.7742

=====

two | Tl3AsSe3, relaxed, DFT PBE-GGA; density of states at the Fermi level = 0.656 states/eV/atom; crystal system = hexagonal; magnetization = 0.735 μB/f.u.; space group = P6_3/m, No. 176
1.0
6.5058 0.0000 0.0000
0.0000 8.1115 -4.6832
0.0000 0.0000 9.3663
Tl As Se
6 2 6
Direct
0.7500 0.7162 0.6542
0.7500 0.3458 0.0620
0.7500 0.9380 0.2838
0.2500 0.2838 0.3458
0.2500 0.6542 0.9380
0.2500 0.0620 0.7162
0.2500 0.6667 0.3333
0.7500 0.3333 0.6667
0.2500 0.6720 0.6042
0.2500 0.3958 0.0678
0.2500 0.9322 0.3280
0.7500 0.3280 0.3958
0.7500 0.6042 0.9322
0.7500 0.0678 0.6720

=====

Stability ranking, top entry: one; the second entry is 12.5 kJ/mol of atoms less favorable.

=====

one | TlAsSe4, relaxed, DFT PBE-GGA; density of states at the Fermi level = 0.184 states/eV/atom; crystal system = triclinic; magnetization = 0.000 μB/f.u.; space group = P-1, No. 2
1.0
-6.5316 -0.7520 -0.9013
-0.2566 -4.1316 5.3236
2.1182 8.3359 2.1741
Tl As Se
2 2 8
Direct
0.7423 0.7502 0.9999
0.2577 0.2498 0.0001
0.5000 0.0000 0.5000
0.0000 0.5000 0.5000
0.6384 0.0920 0.8496
0.7887 0.4088 0.1506
0.3616 0.9080 0.1504
0.2113 0.5912 0.8494
0.9365 0.9400 0.5869
0.3494 0.5599 0.4130
0.0635 0.0600 0.4131
0.6506 0.4401 0.5870

=====

two | TlAsSe4, relaxed, DFT PBE-GGA; density of states at the Fermi level = 0.978 states/eV/atom; crystal system = cubic; magnetization = 0.002 μB/f.u.; space group = F-43m, No. 216
1.0
-4.7909 -2.6251 2.0421
-5.1809 2.6437 -0.4281
-4.0150 -2.0357 -3.7081
Tl As Se
1 1 4
Direct
0.7500 0.7500 0.7500
0.0000 0.0000 0.0000
0.8797 0.3734 0.3734
0.3734 0.3734 0.8797
0.3734 0.8797 0.3734
0.3734 0.3734 0.3734

=====

Stability ranking, top entry: one; the second entry is 54.2 kJ/mol of atoms less favorable.

=====

one | YTlAsSe2, relaxed, DFT PBE-GGA; density of states at the Fermi level = 0.512 states/eV/atom; crystal system = tetragonal; magnetization = 0.000 μB/f.u.; space group = P4/mmm, No. 123
1.0
5.2971 0.0000 0.0000
0.0000 5.2971 0.0000
0.0000 0.0000 5.2013
Y Tl As Se
1 1 1 2
Direct
0.5000 0.5000 0.5000
0.0000 0.0000 0.0000
0.0000 0.0000 0.5000
0.0000 0.5000 0.0000
0.5000 0.0000 0.0000

=====

two | YTlAsSe2, relaxed, DFT PBE-GGA; density of states at the Fermi level = 0.744 states/eV/atom; crystal system = tetragonal; magnetization = 1.249 μB/f.u.; space group = P4/mmm, No. 123
1.0
5.5175 0.0000 0.0000
0.0000 5.5175 0.0000
0.0000 0.0000 5.5777
Y Tl As Se
1 1 1 2
Direct
0.0000 0.0000 0.0000
0.5000 0.5000 0.5000
0.0000 0.0000 0.5000
0.0000 0.5000 0.0000
0.5000 0.0000 0.0000

=====

Stability ranking, top entry: two; the second entry is 50.2 kJ/mol of atoms less favorable.